1.
Crystalline Sr2MnSiTc at its relaxed geometry, computed with PBE-GGA.

```
Sr2MnSiTc
1.0
5.783 0.000 0.000
0.000 5.783 0.000
0.000 0.000 4.656
Sr Mn Si Tc
2 1 1 1
Cartesian
0.000 2.892 0.000
2.892 0.000 0.000
0.000 0.000 2.328
2.892 2.892 2.328
2.892 2.892 0.000
```

Computed properties:
SG: P4/mmm, No. 123
Energy relative to the elements, uncorrected: 685 meV per atom


2.
Crystalline Nd2Y3Pd2 at its relaxed geometry, computed with PBE-GGA.

```
Nd2Y3Pd2
1.0
6.350 -1.868 0.000
6.350 1.868 0.000
-4.258 0.000 8.206
Nd Y Pd
2 3 2
Cartesian
0.662 0.000 2.577
7.779 0.000 5.629
4.641 0.000 0.491
4.221 0.000 4.103
3.800 0.000 7.714
-1.023 0.000 6.063
9.465 0.000 2.143
```

Computed properties:
SG: C2/m, No. 12
Energy of formation from the pure elements: -504.6 meV/atom